# 1
DFT (PBEsol) results for a relaxed structure of Sc2BeB2Ir5.

It has space group P4/mbm (No. 127), with a = 9.2269 Å, b = 9.2269 Å, c = 2.9443 Å, α = 90.00°, β = 90.00° and γ = 90.00°. The distinct sites, in fractional coordinates, are Sc at (0.1767, 0.3233, 0.0000), Be at (0.0000, 0.0000, 0.0000), B at (0.1284, 0.6284, 0.0000), Ir at (0.0000, 0.5000, 0.5000) and Ir at (0.0669, 0.7913, 0.5000).

As for the density of states at the Fermi level: 7.07 states/eV per cell. For the volume, the calculation gives 12.53 A^3/atom. Its electronic total energy is -8.869 eV/atom. As for the magnetization: 0.00 μB/cell.

---

# 2
DFT (PBEsol) results for a relaxed structure of Sc2BeBIr.

It has space group P4/mmm (No. 123), with a = 4.8823 Å, b = 4.8823 Å, c = 4.1257 Å, α = 90.00°, β = 90.00° and γ = 90.00°. The distinct sites, in fractional coordinates, are Sc at (0.0000, 0.5000, 0.0000), Be at (0.0000, 0.0000, 0.5000), B at (0.5000, 0.5000, 0.5000) and Ir at (0.0000, 0.0000, 0.0000).

As for the density of states at the Fermi level: 4.16 states/eV per cell. For the volume, the calculation gives 19.67 A^3/atom. Its electronic total energy is -6.178 eV/atom. As for the magnetization: 0.00 μB/cell.